1.
Below is a PBEsol-optimized structure of LiTl2Cl, with properties calculated at the SCAN level.

Cell and atoms, written as CIF:
```
data_LiTl2Cl
_cell_length_a 8.202
_cell_length_b 8.202
_cell_length_c 6.136
_cell_angle_alpha 90.00
_cell_angle_beta 90.00
_cell_angle_gamma 90.00
_symmetry_space_group_name_H-M 'I -4 2 d'
_symmetry_Int_Tables_number 122
_symmetry_space_group_name_Hall 'I -4 2bw'
loop_
_atom_site_label
_atom_site_type_symbol
_atom_site_fract_x
_atom_site_fract_y
_atom_site_fract_z
Li1 Li 0.000 0.000 0.000
Tl1 Tl 0.234 0.750 0.125
Cl1 Cl 0.000 0.000 0.500
```

Output
- D(E_F): 0.3175 states/eV/atom
- Relative energy among the computed polymorphs: 0.0 meV/atom
- ρ: 7.26 g/cm3
- E_form (uncorrected): -0.43 eV/atom

***

2.
Below is a PBEsol-optimized structure of TlCuBr2, with properties calculated at the SCAN level.

Cell and atoms, written as CIF:
```
data_TlCuBr2
_cell_length_a 4.014
_cell_length_b 4.769
_cell_length_c 11.851
_cell_angle_alpha 90.00
_cell_angle_beta 90.00
_cell_angle_gamma 90.00
_symmetry_space_group_name_H-M 'A m m 2'
_symmetry_Int_Tables_number 38
loop_
_symmetry_equiv_pos_as_xyz
'x,y,z'
'-x,-y,z'
'-x,y,z'
'x,-y,z'
'x,y+1/2,z+1/2'
'-x,-y+1/2,z+1/2'
'-x,y+1/2,z+1/2'
'x,-y+1/2,z+1/2'
loop_
_atom_site_label
_atom_site_type_symbol
_atom_site_fract_x
_atom_site_fract_y
_atom_site_fract_z
Tl1 Tl 0.000 0.000 0.000
Cu1 Cu 0.500 0.000 0.385
Br1 Br 0.000 0.000 0.281
Br2 Br 0.500 0.000 0.581
```

Output
- D(E_F): 0.0000 states/eV/atom
- Relative energy among the computed polymorphs: 16.1 meV/atom
- ρ: 6.26 g/cm3
- E_form (uncorrected): -0.55 eV/atom

***

> What is the E_form (uncorrected) in the first record?

-0.43 eV/atom